# 1
{
  "formula": "K3Na5In6",
  "functional": "PBE",
  "state": "optimized geometry",
  "magmom_total_mub_per_atom": 0.00,
  "spacegroup": "No. 71",
  "delta_e_f_ev_per_atom": -0.088,
  "mass_density_g_cm3": 3.01,
  "lattice_angstrom": [[-2.652, 6.137, 7.795], [2.652, -6.137, 7.795], [2.652, 6.137, -7.795]],
  "species": ["Na", "Na", "Na", "Na", "Na", "In", "In", "In", "In", "In", "In", "K", "K", "K"],
  "fractional_positions": [[0.500, 0.000, 0.500], [0.976, 0.307, 0.669], [0.024, 0.693, 0.331], [0.363, 0.693, 0.669], [0.637, 0.307, 0.331], [0.727, 0.500, 0.227], [0.273, 0.500, 0.773], [0.170, 0.897, 0.272], [0.830, 0.103, 0.728], [0.375, 0.103, 0.272], [0.625, 0.897, 0.728], [0.000, 0.000, 0.000], [0.672, 0.672, 0.000], [0.328, 0.328, 0.000]]
}


# 2
{
  "formula": "K12Na7In",
  "functional": "PBE",
  "state": "optimized geometry",
  "magmom_total_mub_per_atom": 0.00,
  "spacegroup": "No. 2",
  "delta_e_f_ev_per_atom": 0.007,
  "mass_density_g_cm3": 1.11,
  "lattice_angstrom": [[-1.238, -6.915, 1.764], [13.458, 3.195, 1.380], [-11.611, 5.430, 8.998]],
  "species": ["Na", "Na", "Na", "Na", "Na", "Na", "Na", "K", "K", "K", "K", "K", "K", "K", "K", "K", "K", "K", "K", "In"],
  "fractional_positions": [[0.594, 0.796, 0.751], [0.500, 0.000, 0.000], [0.172, 0.970, 0.795], [0.828, 0.030, 0.205], [0.853, 0.151, 0.913], [0.406, 0.204, 0.249], [0.147, 0.849, 0.087], [0.436, 0.876, 0.557], [0.036, 0.365, 0.259], [0.752, 0.624, 0.460], [0.484, 0.342, 0.069], [0.789, 0.380, 0.834], [0.877, 0.840, 0.316], [0.123, 0.160, 0.684], [0.211, 0.620, 0.166], [0.564, 0.124, 0.443], [0.248, 0.376, 0.540], [0.964, 0.635, 0.741], [0.516, 0.658, 0.931], [0.000, 0.000, 0.000]]
}


# 3
{
  "formula": "K2Na2In",
  "functional": "PBE",
  "state": "optimized geometry",
  "magmom_total_mub_per_atom": 0.00,
  "polymorph_energy_mev_per_atom": 39.7,
  "spacegroup": "No. 127",
  "delta_e_f_ev_per_atom": 0.039,
  "mass_density_g_cm3": 1.82,
  "lattice_angstrom": [[-0.558, 1.894, -8.219], [-7.968, -2.820, -0.109], [-1.998, 5.590, 1.424]],
  "species": ["K", "K", "K", "K", "In", "In", "Na", "Na", "Na", "Na"],
  "fractional_positions": [[0.814, 0.314, 0.500], [0.686, 0.814, 0.500], [0.186, 0.686, 0.500], [0.314, 0.186, 0.500], [0.500, 0.500, 0.000], [0.000, 0.000, 0.000], [0.145, 0.355, 0.000], [0.855, 0.645, 0.000], [0.355, 0.855, 0.000], [0.645, 0.145, 0.000]]
}


# 4
{
  "formula": "KNa2In10",
  "functional": "PBE",
  "state": "optimized geometry",
  "magmom_total_mub_per_atom": 0.00,
  "spacegroup": "No. 69",
  "delta_e_f_ev_per_atom": -0.047,
  "mass_density_g_cm3": 5.42,
  "lattice_angstrom": [[5.726, 0.000, 3.049], [2.863, 7.768, 1.524], [-0.658, 0.000, 8.138]],
  "species": ["In", "In", "In", "In", "In", "In", "In", "In", "In", "In", "Na", "Na", "K"],
  "fractional_positions": [[0.645, 0.357, 0.354], [0.496, 0.228, 0.779], [0.725, 0.772, 0.779], [0.355, 0.643, 0.646], [0.000, 0.500, 0.000], [0.001, 0.643, 0.354], [0.275, 0.228, 0.221], [0.999, 0.357, 0.646], [0.500, 0.500, 0.000], [0.504, 0.772, 0.221], [0.500, 0.000, 0.500], [0.000, 0.000, 0.500], [0.000, 0.000, 0.000]]
}


# 5
{
  "formula": "KNa3In3",
  "functional": "PBE",
  "state": "optimized geometry",
  "magmom_total_mub_per_atom": 0.00,
  "spacegroup": "No. 223",
  "delta_e_f_ev_per_atom": 0.294,
  "mass_density_g_cm3": 2.43,
  "lattice_angstrom": [[-1.272, -8.023, -2.586], [3.415, -2.882, 7.260], [-7.706, 0.048, 3.644]],
  "species": ["Na", "Na", "Na", "Na", "Na", "Na", "In", "In", "In", "In", "In", "In", "K", "K"],
  "fractional_positions": [[0.000, 0.750, 0.500], [0.500, 0.000, 0.250], [0.500, 0.000, 0.750], [0.250, 0.500, 0.000], [0.750, 0.500, 0.000], [0.000, 0.250, 0.500], [0.500, 0.750, 0.000], [0.250, 0.000, 0.500], [0.750, 0.000, 0.500], [0.000, 0.500, 0.750], [0.000, 0.500, 0.250], [0.500, 0.250, 0.000], [0.500, 0.500, 0.500], [0.000, 0.000, 0.000]]
}


# 6
{
  "formula": "K2Na6In",
  "functional": "PBE",
  "state": "optimized geometry",
  "magmom_total_mub_per_atom": 0.00,
  "polymorph_energy_mev_per_atom": 0.0,
  "spacegroup": "No. 12",
  "delta_e_f_ev_per_atom": 0.000,
  "mass_density_g_cm3": 1.48,
  "lattice_angstrom": [[-7.513, 0.240, -0.578], [3.905, -5.123, -3.709], [-0.575, -6.078, 4.958]],
  "species": ["Na", "Na", "Na", "Na", "Na", "Na", "K", "K", "In"],
  "fractional_positions": [[0.126, 0.253, 0.305], [0.376, 0.245, 0.677], [0.874, 0.747, 0.695], [0.131, 0.755, 0.323], [0.869, 0.245, 0.677], [0.624, 0.755, 0.323], [0.653, 0.307, 0.128], [0.347, 0.693, 0.872], [0.000, 0.000, 0.000]]
}


# 7
{
  "formula": "KNa3In2",
  "functional": "PBE",
  "state": "optimized geometry",
  "magmom_total_mub_per_atom": 0.00,
  "spacegroup": "No. 63",
  "delta_e_f_ev_per_atom": -0.053,
  "mass_density_g_cm3": 2.60,
  "lattice_angstrom": [[6.475, 0.000, 0.000], [0.000, 8.170, 0.059], [0.000, 0.483, 8.156]],
  "species": ["Na", "Na", "Na", "Na", "Na", "Na", "In", "In", "In", "In", "K", "K"],
  "fractional_positions": [[0.250, 0.567, 0.072], [0.250, 0.928, 0.433], [0.250, 0.037, 0.963], [0.750, 0.963, 0.037], [0.750, 0.433, 0.928], [0.750, 0.072, 0.567], [0.500, 0.760, 0.760], [0.000, 0.240, 0.240], [0.000, 0.760, 0.760], [0.500, 0.240, 0.240], [0.750, 0.620, 0.380], [0.250, 0.380, 0.620]]
}


# 8
{
  "formula": "K2NaIn",
  "functional": "PBE",
  "state": "optimized geometry",
  "magmom_total_mub_per_atom": 0.00,
  "spacegroup": "No. 160",
  "delta_e_f_ev_per_atom": 0.096,
  "mass_density_g_cm3": 1.98,
  "lattice_angstrom": [[-0.708, -2.518, -3.112], [2.781, -2.776, -1.043], [-4.637, -10.088, 6.560]],
  "species": ["In", "K", "K", "Na"],
  "fractional_positions": [[0.667, 0.667, 0.000], [0.258, 0.258, 0.226], [0.075, 0.075, 0.774], [0.500, 0.500, 0.500]]
}


# 9
{
  "formula": "K8NaIn2",
  "functional": "PBE",
  "state": "optimized geometry",
  "magmom_total_mub_per_atom": 0.00,
  "spacegroup": "No. 12",
  "delta_e_f_ev_per_atom": 0.029,
  "mass_density_g_cm3": 1.62,
  "lattice_angstrom": [[6.930, 0.388, -1.364], [-2.493, 8.739, -2.254], [0.275, 0.118, 9.359]],
  "species": ["K", "K", "K", "K", "K", "K", "K", "K", "In", "In", "Na"],
  "fractional_positions": [[0.500, 0.742, 0.258], [0.131, 0.336, 0.032], [0.668, 0.215, 0.215], [0.869, 0.968, 0.664], [0.500, 0.258, 0.742], [0.131, 0.032, 0.336], [0.869, 0.664, 0.968], [0.332, 0.785, 0.785], [0.000, 0.396, 0.604], [0.000, 0.604, 0.396], [0.500, 0.500, 0.500]]
}


# 10
{
  "formula": "K2Na2In15",
  "functional": "PBE",
  "state": "optimized geometry",
  "magmom_total_mub_per_atom": 0.00,
  "spacegroup": "No. 166",
  "delta_e_f_ev_per_atom": -0.061,
  "mass_density_g_cm3": 5.49,
  "lattice_angstrom": [[8.325, 0.095, 0.085], [1.174, 8.242, 0.085], [1.174, 1.031, 8.178]],
  "species": ["In", "In", "In", "In", "In", "In", "In", "In", "In", "In", "In", "In", "In", "In", "In", "Na", "Na", "K", "K"],
  "fractional_positions": [[0.000, 0.706, 0.294], [0.706, 0.294, 0.000], [0.500, 0.000, 0.000], [0.360, 0.360, 0.848], [0.848, 0.360, 0.360], [0.152, 0.640, 0.640], [0.294, 0.000, 0.706], [0.000, 0.000, 0.500], [0.640, 0.152, 0.640], [0.000, 0.500, 0.000], [0.640, 0.640, 0.152], [0.294, 0.706, 0.000], [0.000, 0.294, 0.706], [0.360, 0.848, 0.360], [0.706, 0.000, 0.294], [0.103, 0.103, 0.103], [0.897, 0.897, 0.897], [0.658, 0.658, 0.658], [0.342, 0.342, 0.342]]
}


# 11
{
  "formula": "KNa2In",
  "functional": "PBE",
  "state": "optimized geometry",
  "magmom_total_mub_per_atom": 0.00,
  "spacegroup": "No. 216",
  "delta_e_f_ev_per_atom": 0.026,
  "mass_density_g_cm3": 2.27,
  "lattice_angstrom": [[5.911, 0.000, 0.000], [2.956, 5.119, 0.000], [2.956, 1.706, 4.829]],
  "species": ["In", "Na", "Na", "K"],
  "fractional_positions": [[0.750, 0.750, 0.750], [0.000, 0.000, 0.001], [0.250, 0.250, 0.249], [0.500, 0.500, 0.500]]
}


# 12
{
  "formula": "K3Na12In5",
  "functional": "PBE",
  "state": "optimized geometry",
  "magmom_total_mub_per_atom": 0.00,
  "spacegroup": "No. 230",
  "delta_e_f_ev_per_atom": 0.211,
  "mass_density_g_cm3": 1.57,
  "lattice_angstrom": [[17.449, 0.000, 0.000], [-5.816, 16.451, 0.000], [-5.816, -8.226, 14.247]],
  "species": ["In", "In", "In", "In", "In", "In", "In", "In", "In", "In", "In", "In", "In", "In", "In", "In", "In", "In", "In", "In", "K", "K", "K", "K", "K", "K", "K", "K", "K", "K", "K", "K", "Na", "Na", "Na", "Na", "Na", "Na", "Na", "Na", "Na", "Na", "Na", "Na", "Na", "Na", "Na", "Na", "Na", "Na", "Na", "Na", "Na", "Na", "Na", "Na", "Na", "Na", "Na", "Na", "Na", "Na", "Na", "Na", "Na", "Na", "Na", "Na", "Na", "Na", "Na", "Na", "Na", "Na", "Na", "Na", "Na", "Na", "Na", "Na"],
  "fractional_positions": [[0.500, 0.000, 0.500], [0.000, 0.500, 0.500], [0.750, 0.125, 0.875], [0.000, 0.000, 0.500], [0.000, 0.000, 0.000], [0.375, 0.125, 0.750], [0.000, 0.500, 0.000], [0.125, 0.375, 0.250], [0.500, 0.500, 0.000], [0.375, 0.250, 0.125], [0.250, 0.375, 0.625], [0.625, 0.750, 0.875], [0.750, 0.625, 0.375], [0.125, 0.750, 0.375], [0.500, 0.500, 0.500], [0.500, 0.000, 0.000], [0.875, 0.250, 0.625], [0.875, 0.625, 0.750], [0.625, 0.875, 0.250], [0.250, 0.875, 0.125], [0.250, 0.125, 0.375], [0.625, 0.375, 0.750], [0.375, 0.625, 0.250], [0.750, 0.375, 0.125], [0.250, 0.625, 0.875], [0.125, 0.250, 0.875], [0.875, 0.750, 0.125], [0.375, 0.750, 0.625], [0.125, 0.875, 0.750], [0.875, 0.125, 0.250], [0.750, 0.875, 0.625], [0.625, 0.250, 0.375], [0.860, 0.802, 0.833], [0.833, 0.302, 0.860], [0.058, 0.860, 0.027], [0.031, 0.473, 0.333], [0.473, 0.442, 0.140], [0.360, 0.027, 0.558], [0.333, 0.973, 0.031], [0.640, 0.973, 0.442], [0.527, 0.558, 0.860], [0.198, 0.058, 0.031], [0.558, 0.031, 0.698], [0.833, 0.531, 0.473], [0.698, 0.531, 0.558], [0.167, 0.698, 0.140], [0.527, 0.969, 0.167], [0.140, 0.198, 0.167], [0.531, 0.698, 0.058], [0.058, 0.198, 0.531], [0.667, 0.027, 0.969], [0.860, 0.058, 0.527], [0.473, 0.031, 0.833], [0.469, 0.167, 0.027], [0.027, 0.360, 0.058], [0.442, 0.969, 0.302], [0.198, 0.140, 0.667], [0.640, 0.667, 0.698], [0.531, 0.833, 0.973], [0.027, 0.667, 0.469], [0.558, 0.527, 0.360], [0.360, 0.333, 0.302], [0.333, 0.360, 0.802], [0.302, 0.469, 0.442], [0.140, 0.942, 0.473], [0.973, 0.640, 0.942], [0.167, 0.469, 0.527], [0.667, 0.640, 0.198], [0.973, 0.333, 0.531], [0.031, 0.558, 0.198], [0.969, 0.527, 0.667], [0.942, 0.140, 0.973], [0.942, 0.802, 0.469], [0.802, 0.860, 0.333], [0.442, 0.473, 0.640], [0.802, 0.942, 0.969], [0.698, 0.167, 0.640], [0.969, 0.442, 0.802], [0.302, 0.833, 0.360], [0.469, 0.302, 0.942]]
}